# K2PdBr3Cl | the Alexandria database | GGA-PBE | relaxed
data_K2PdBr3Cl
_cell_length_a 4.347
_cell_length_b 10.239
_cell_length_c 10.775
_cell_angle_alpha 90.00
_cell_angle_beta 90.00
_cell_angle_gamma 90.00
_space_group_name_H-M_alt 'P 1'
_space_group_IT_number 1
_space_group_name_Hall 'P 1'
loop_
_atom_site_label
_atom_site_type_symbol
_atom_site_fract_x
_atom_site_fract_y
_atom_site_fract_z
K1 K 0.000 0.239 0.000
K2 K 0.000 0.261 0.500
K3 K 0.000 0.739 0.500
K4 K 0.000 0.761 0.000
Pd1 Pd 0.500 0.000 0.249
Pd2 Pd 0.500 0.500 0.749
Br1 Br 0.500 0.000 0.478
Br2 Br 0.500 0.242 0.250
Br3 Br 0.500 0.258 0.750
Br4 Br 0.500 0.500 0.978
Br5 Br 0.500 0.742 0.750
Br6 Br 0.500 0.758 0.250
Cl1 Cl 0.500 0.000 0.031
Cl2 Cl 0.500 0.500 0.531
# Raw total energy, eV per cell: -45.51
# E_form (uncorrected), meV per atom: -1215